Below is InAuSe2 after structural relaxation, with properties calculated at the PBE-GGA level.

a b c (Å): 6.996 6.996 6.996
angles (deg): 34.72 34.72 34.72
Fractional coordinates of all 4 atoms:
Au  0.508  0.508  0.508
In  0.752  0.752  0.752
Se  0.018  0.018  0.018
Se  0.221  0.221  0.221

- Symmetry: No. 160
- E_form (uncorrected): -0.575 eV per formula unit